1.
! GeO GGA-PBE relaxed; values from VASP
! - Energy: -5.832 eV per atom
&SYSTEM
  ibrav = 0, nat = 4, ntyp = 2
/
ATOMIC_SPECIES
Ge 72.64 Ge.upf
O 16.00 O.upf
ATOMIC_POSITIONS crystal
Ge 0.089 0.250 0.288
Ge 0.911 0.750 0.712
O 0.195 0.250 0.618
O 0.805 0.750 0.382
CELL_PARAMETERS angstrom
3.863 0.000 0.000
0.000 3.142 0.000
-0.123 0.000 5.923

---

2.
! Cu2SbOs GGA-PBE relaxed; values from VASP
! - Energy: -5.497 eV per atom
&SYSTEM
  ibrav = 0, nat = 4, ntyp = 3
/
ATOMIC_SPECIES
Cu 63.55 Cu.upf
Sb 121.76 Sb.upf
Os 190.23 Os.upf
ATOMIC_POSITIONS crystal
Cu 0.000 0.000 0.000
Cu 0.444 0.500 0.884
Sb 0.690 0.500 0.365
Os 0.287 0.000 0.567
CELL_PARAMETERS angstrom
3.126 0.000 0.000
0.000 3.863 0.000
-1.508 0.000 5.251

---

3.
! Li2Al2GaPd5 GGA-PBE relaxed; values from VASP
! - E_form: -0.619 eV per atom
&SYSTEM
  ibrav = 0, nat = 20, ntyp = 4
/
ATOMIC_SPECIES
Li 6.94 Li.upf
Al 26.98 Al.upf
Ga 69.72 Ga.upf
Pd 106.42 Pd.upf
ATOMIC_POSITIONS crystal
Li 0.169 0.331 0.000
Li 0.331 0.831 0.000
Li 0.669 0.169 0.000
Li 0.831 0.669 0.000
Al 0.130 0.630 0.000
Al 0.370 0.130 0.000
Al 0.630 0.870 0.000
Al 0.870 0.370 0.000
Ga 0.000 0.000 0.000
Ga 0.500 0.500 0.000
Pd 0.000 0.500 0.500
Pd 0.078 0.804 0.500
Pd 0.196 0.078 0.500
Pd 0.304 0.578 0.500
Pd 0.422 0.304 0.500
Pd 0.500 0.000 0.500
Pd 0.578 0.696 0.500
Pd 0.696 0.422 0.500
Pd 0.804 0.922 0.500
Pd 0.922 0.196 0.500
CELL_PARAMETERS angstrom
9.396 0.000 0.000
0.000 9.396 0.000
0.000 0.000 3.576

---

4.
! LaHf2Sn2 GGA-PBE relaxed; values from VASP
! - E_form: -0.296 eV per atom
&SYSTEM
  ibrav = 0, nat = 10, ntyp = 3
/
ATOMIC_SPECIES
La 138.91 La.upf
Hf 178.49 Hf.upf
Sn 118.71 Sn.upf
ATOMIC_POSITIONS crystal
La 0.000 0.000 0.000
La 0.500 0.500 0.000
Hf 0.121 0.379 0.000
Hf 0.379 0.879 0.000
Hf 0.621 0.121 0.000
Hf 0.879 0.621 0.000
Sn 0.173 0.673 0.500
Sn 0.327 0.173 0.500
Sn 0.673 0.827 0.500
Sn 0.827 0.327 0.500
CELL_PARAMETERS angstrom
8.759 0.000 0.000
0.000 8.759 0.000
0.000 0.000 3.229

---

5.
! AlGaPCl GGA-PBE relaxed; values from VASP
! - Energy: -4.080 eV per atom
&SYSTEM
  ibrav = 0, nat = 4, ntyp = 4
/
ATOMIC_SPECIES
Al 26.98 Al.upf
Ga 69.72 Ga.upf
P 30.97 P.upf
Cl 35.45 Cl.upf
ATOMIC_POSITIONS crystal
Al 0.000 0.000 0.000
Ga 0.460 0.460 0.460
P 0.708 0.708 0.708
Cl 0.902 0.902 0.902
CELL_PARAMETERS angstrom
1.917 1.107 7.448
-1.917 1.107 7.448
0.000 -2.213 7.448

---

6.
! NbHCl2 GGA-PBE relaxed; values from VASP
! - Energy: -4.466 eV per atom
&SYSTEM
  ibrav = 0, nat = 4, ntyp = 3
/
ATOMIC_SPECIES
Nb 92.91 Nb.upf
H 1.01 H.upf
Cl 35.45 Cl.upf
ATOMIC_POSITIONS crystal
Nb 0.000 0.000 0.000
H 0.500 0.500 0.500
Cl 0.393 0.393 0.393
Cl 0.607 0.607 0.607
CELL_PARAMETERS angstrom
1.604 0.926 9.804
-1.604 0.926 9.804
0.000 -1.853 9.804

---

7.
! V2FeBi GGA-PBE relaxed; values from VASP
! - E_form: 0.804 eV per atom
&SYSTEM
  ibrav = 0, nat = 8, ntyp = 3
/
ATOMIC_SPECIES
V 50.94 V.upf
Fe 55.84 Fe.upf
Bi 208.98 Bi.upf
ATOMIC_POSITIONS crystal
V 0.116 0.625 0.991
V 0.375 0.366 0.491
V 0.634 0.125 0.009
V 0.875 0.884 0.509
Fe 0.000 0.000 0.000
Fe 0.750 0.250 0.500
Bi 0.250 0.750 0.500
Bi 0.500 0.500 0.000
CELL_PARAMETERS angstrom
-1.888 1.888 9.607
1.888 -1.888 9.607
1.888 1.888 -9.607

---

8.
! Sc3Se GGA-PBE relaxed; values from VASP
! - Energy: -6.324 eV per atom
&SYSTEM
  ibrav = 0, nat = 4, ntyp = 2
/
ATOMIC_SPECIES
Sc 44.96 Sc.upf
Se 78.96 Se.upf
ATOMIC_POSITIONS crystal
Sc 0.000 0.000 0.000
Sc 0.333 0.667 0.291
Sc 0.333 0.667 0.709
Se 0.000 0.000 0.500
CELL_PARAMETERS angstrom
3.523 0.000 0.000
-1.762 3.051 0.000
0.000 0.000 8.686

---

9.
! InC3 GGA-PBE relaxed; values from VASP
! - E_form: 2.378 eV per atom
&SYSTEM
  ibrav = 0, nat = 4, ntyp = 2
/
ATOMIC_SPECIES
In 114.82 In.upf
C 12.01 C.upf
ATOMIC_POSITIONS crystal
In 0.000 0.000 0.000
C 0.000 0.000 0.500
C 0.333 0.667 0.390
C 0.333 0.667 0.610
CELL_PARAMETERS angstrom
2.839 0.000 0.000
-1.420 2.459 0.000
0.000 0.000 6.840

---

10.
! CaSnPb GGA-PBE relaxed; values from VASP
! - E_form: -0.307 eV per atom
&SYSTEM
  ibrav = 0, nat = 3, ntyp = 3
/
ATOMIC_SPECIES
Ca 40.08 Ca.upf
Sn 118.71 Sn.upf
Pb 207.20 Pb.upf
ATOMIC_POSITIONS crystal
Ca 0.000 0.000 0.000
Sn 0.681 0.681 0.000
Pb 0.312 0.312 0.000
CELL_PARAMETERS angstrom
-2.038 2.038 5.447
2.038 -2.038 5.447
2.038 2.038 -5.447

---

11.
! LaMnAl2I GGA-PBE relaxed; values from VASP
! - Energy: -3.463 eV per atom
&SYSTEM
  ibrav = 0, nat = 5, ntyp = 4
/
ATOMIC_SPECIES
La 138.91 La.upf
Mn 54.94 Mn.upf
Al 26.98 Al.upf
I 126.90 I.upf
ATOMIC_POSITIONS crystal
La 0.000 0.000 0.000
Mn 0.000 0.000 0.500
Al 0.000 0.500 0.000
Al 0.500 0.000 0.000
I 0.500 0.500 0.500
CELL_PARAMETERS angstrom
6.057 0.000 0.000
0.000 6.057 0.000
0.000 0.000 5.338

---

12.
! FeSb2TeC GGA-PBE relaxed; values from VASP
! - Energy: -4.413 eV per atom
&SYSTEM
  ibrav = 0, nat = 5, ntyp = 4
/
ATOMIC_SPECIES
Fe 55.84 Fe.upf
Sb 121.76 Sb.upf
Te 127.60 Te.upf
C 12.01 C.upf
ATOMIC_POSITIONS crystal
Fe 0.000 0.000 0.000
Sb 0.000 0.500 0.500
Sb 0.500 0.000 0.500
Te 0.500 0.500 0.000
C 0.500 0.500 0.500
CELL_PARAMETERS angstrom
4.630 0.000 0.000
0.000 4.630 0.000
0.000 0.000 4.595

---

13.
! Ga3SI GGA-PBE relaxed; values from VASP
! - Energy: -2.297 eV per atom
&SYSTEM
  ibrav = 0, nat = 5, ntyp = 3
/
ATOMIC_SPECIES
Ga 69.72 Ga.upf
S 32.06 S.upf
I 126.90 I.upf
ATOMIC_POSITIONS crystal
Ga 0.000 0.000 0.500
Ga 0.000 0.500 0.000
Ga 0.500 0.000 0.000
S 0.500 0.500 0.500
I 0.000 0.000 0.000
CELL_PARAMETERS angstrom
5.943 0.000 0.000
0.000 5.943 0.000
0.000 0.000 5.943

---

14.
! KRb2PtAu GGA-PBE relaxed; values from VASP
! - E_form: 0.002 eV per atom
&SYSTEM
  ibrav = 0, nat = 5, ntyp = 4
/
ATOMIC_SPECIES
K 39.10 K.upf
Rb 85.47 Rb.upf
Pt 195.08 Pt.upf
Au 196.97 Au.upf
ATOMIC_POSITIONS crystal
K 0.000 0.000 0.000
Rb 0.000 0.500 0.500
Rb 0.500 0.000 0.500
Pt 0.000 0.000 0.500
Au 0.500 0.500 0.000
CELL_PARAMETERS angstrom
6.329 0.000 0.000
0.000 6.329 0.000
0.000 0.000 6.067

---

15.
! Ba3TlAg2 GGA-PBE relaxed; values from VASP
! - E_form: -0.290 eV per atom
&SYSTEM
  ibrav = 0, nat = 6, ntyp = 3
/
ATOMIC_SPECIES
Ba 137.33 Ba.upf
Tl 204.38 Tl.upf
Ag 107.87 Ag.upf
ATOMIC_POSITIONS crystal
Ba 0.000 0.000 0.000
Ba 0.000 0.000 0.326
Ba 0.000 0.000 0.674
Tl 0.500 0.500 0.500
Ag 0.500 0.500 0.161
Ag 0.500 0.500 0.839
CELL_PARAMETERS angstrom
4.161 0.000 0.000
0.000 4.161 0.000
0.000 0.000 12.713

---

16.
! MoW5 GGA-PBE relaxed; values from VASP
! - E_form: 0.709 eV per atom
&SYSTEM
  ibrav = 0, nat = 6, ntyp = 2
/
ATOMIC_SPECIES
Mo 95.94 Mo.upf
W 183.84 W.upf
ATOMIC_POSITIONS crystal
Mo 0.000 0.000 0.000
W 0.000 0.500 0.500
W 0.333 0.667 0.000
W 0.500 0.000 0.500
W 0.500 0.500 0.500
W 0.667 0.333 0.000
CELL_PARAMETERS angstrom
5.160 0.000 0.000
-2.580 4.468 0.000
0.000 0.000 4.628

---

17.
! YBeAg GGA-PBE relaxed; values from VASP
! - E_form: 0.035 eV per atom
&SYSTEM
  ibrav = 0, nat = 3, ntyp = 3
/
ATOMIC_SPECIES
Y 88.91 Y.upf
Be 9.01 Be.upf
Ag 107.87 Ag.upf
ATOMIC_POSITIONS crystal
Y 0.000 0.000 0.000
Be 0.688 0.688 0.376
Ag 0.292 0.292 0.582
CELL_PARAMETERS angstrom
3.280 0.000 0.000
-0.008 3.290 0.000
-1.607 -1.620 5.222

---

18.
! MnNbCoHSe2 GGA-PBE relaxed; values from VASP
! - Energy: -6.420 eV per atom
&SYSTEM
  ibrav = 0, nat = 6, ntyp = 5
/
ATOMIC_SPECIES
Mn 54.94 Mn.upf
Nb 92.91 Nb.upf
Co 58.93 Co.upf
H 1.01 H.upf
Se 78.96 Se.upf
ATOMIC_POSITIONS crystal
Mn 0.000 0.000 0.000
Nb 0.161 0.161 0.161
Co 0.578 0.578 0.579
H 0.080 0.080 0.578
Se 0.433 0.433 0.434
Se 0.736 0.736 0.735
CELL_PARAMETERS angstrom
8.123 -1.718 0.000
8.123 1.718 0.000
-0.716 0.000 3.335

---

19.
! La9Sm4Dy GGA-PBE relaxed; values from VASP
! - E_form: 0.142 eV per atom
&SYSTEM
  ibrav = 0, nat = 28, ntyp = 3
/
ATOMIC_SPECIES
La 138.91 La.upf
Sm 150.36 Sm.upf
Dy 162.50 Dy.upf
ATOMIC_POSITIONS crystal
La 0.080 0.540 0.250
La 0.207 0.414 0.530
La 0.207 0.414 0.970
La 0.207 0.793 0.530
La 0.207 0.793 0.970
La 0.414 0.207 0.030
La 0.414 0.207 0.470
La 0.460 0.540 0.250
La 0.460 0.920 0.250
La 0.540 0.080 0.750
La 0.540 0.460 0.750
La 0.586 0.793 0.530
La 0.586 0.793 0.970
La 0.793 0.207 0.030
La 0.793 0.207 0.470
La 0.793 0.586 0.030
La 0.793 0.586 0.470
La 0.920 0.460 0.750
Sm 0.000 0.000 0.000
Sm 0.000 0.000 0.500
Sm 0.112 0.224 0.250
Sm 0.112 0.888 0.250
Sm 0.224 0.112 0.750
Sm 0.776 0.888 0.250
Sm 0.888 0.112 0.750
Sm 0.888 0.776 0.750
Dy 0.333 0.667 0.750
Dy 0.667 0.333 0.250
CELL_PARAMETERS angstrom
10.067 0.000 0.000
-5.033 8.718 0.000
0.000 0.000 11.636

---

20.
! PmDyTmTl GGA-PBE relaxed; values from VASP
! - E_form: -0.051 eV per atom
&SYSTEM
  ibrav = 0, nat = 4, ntyp = 4
/
ATOMIC_SPECIES
Pm 145.00 Pm.upf
Dy 162.50 Dy.upf
Tm 168.93 Tm.upf
Tl 204.38 Tl.upf
ATOMIC_POSITIONS crystal
Pm 0.000 0.000 0.000
Dy 0.500 0.500 0.500
Tm 0.250 0.250 0.250
Tl 0.750 0.750 0.750
CELL_PARAMETERS angstrom
0.000 3.884 3.884
3.884 0.000 3.884
3.884 3.884 0.000